(1)
VASP calculation (PBE) on a relaxed structure of ZnFe2Tc.

Total magnetic moment in μB per atom: 0.826
Formation energy in eV/f.u.: 0.54
Calculated volume in A^3/atom: 12.894
Final energy in eV/atom: -7.008

Structure (CIF):
```
data_ZnFe2Tc
_chemical_formula_sum 'Zn3 Fe6 Tc3'
_cell_length_a 2.6421
_cell_length_b 2.6421
_cell_length_c 25.5932
_cell_angle_alpha 90.00
_cell_angle_beta 90.00
_cell_angle_gamma 120.00
_symmetry_space_group_name_H-M 'R 3 m'
_symmetry_Int_Tables_number 160
_symmetry_space_group_name_Hall 'R 3 -2"'
loop_
_atom_site_label
_atom_site_fract_x
_atom_site_fract_y
_atom_site_fract_z
_atom_site_occupancy
Zn1 0.0000 0.0000 0.0000 1
Fe1 0.0000 0.0000 0.4968 1
Fe2 0.0000 0.0000 0.7507 1
Tc1 0.0000 0.0000 0.2418 1
```



(2)
VASP calculation (PBE) on a relaxed structure of Zn3FeTc.

Total magnetic moment in μB per atom: 0.928
Formation energy in eV/f.u.: 4.96
Calculated volume in A^3/atom: 17.787
Final energy in eV/atom: -3.538

Structure (CIF):
```
data_Zn3FeTc
_chemical_formula_sum 'Zn3 Fe1 Tc1'
_cell_length_a 4.4636
_cell_length_b 4.4636
_cell_length_c 4.4636
_cell_angle_alpha 90.00
_cell_angle_beta 90.00
_cell_angle_gamma 90.00
_symmetry_space_group_name_H-M 'P m -3 m'
_symmetry_Int_Tables_number 221
_symmetry_space_group_name_Hall '-P 4 2 3'
loop_
_atom_site_label
_atom_site_fract_x
_atom_site_fract_y
_atom_site_fract_z
_atom_site_occupancy
Zn1 0.0000 0.0000 0.5000 1
Fe1 0.0000 0.0000 0.0000 1
Tc1 0.5000 0.5000 0.5000 1
```



(3)
VASP calculation (PBE) on a relaxed structure of ZnFe2Tc2.

Total magnetic moment in μB per atom: 0.000
Formation energy in eV/f.u.: 1.37
Calculated volume in A^3/atom: 13.631
Final energy in eV/atom: -7.512

Structure (CIF):
```
data_ZnFe2Tc2
_chemical_formula_sum 'Zn2 Fe4 Tc4'
_cell_length_a 7.2225
_cell_length_b 7.2225
_cell_length_c 2.6131
_cell_angle_alpha 90.00
_cell_angle_beta 90.00
_cell_angle_gamma 90.00
_symmetry_space_group_name_H-M 'P 4/m b m'
_symmetry_Int_Tables_number 127
_symmetry_space_group_name_Hall '-P 4 2ab'
loop_
_atom_site_label
_atom_site_fract_x
_atom_site_fract_y
_atom_site_fract_z
_atom_site_occupancy
Zn1 0.0000 0.0000 0.0000 1
Fe1 0.1647 0.3353 0.5000 1
Tc1 0.1272 0.6272 0.0000 1
```



(4)
VASP calculation (PBE) on a relaxed structure of Zn2FeTc2.

Total magnetic moment in μB per atom: 0.731
Formation energy in eV/f.u.: 2.03
Calculated volume in A^3/atom: 14.179
Final energy in eV/atom: -5.943

Structure (CIF):
```
data_Zn2FeTc2
_chemical_formula_sum 'Zn4 Fe2 Tc4'
_cell_length_a 6.4080
_cell_length_b 6.4080
_cell_length_c 3.4529
_cell_angle_alpha 90.00
_cell_angle_beta 90.00
_cell_angle_gamma 90.00
_symmetry_space_group_name_H-M 'P 4/m b m'
_symmetry_Int_Tables_number 127
_symmetry_space_group_name_Hall '-P 4 2ab'
loop_
_atom_site_label
_atom_site_fract_x
_atom_site_fract_y
_atom_site_fract_z
_atom_site_occupancy
Zn1 0.1306 0.3694 0.0000 1
Fe1 0.0000 0.0000 0.0000 1
Tc1 0.1724 0.6724 0.5000 1
```



(5)
VASP calculation (PBE) on a relaxed structure of ZnFe2Tc.

Total magnetic moment in μB per atom: 0.741
Formation energy in eV/f.u.: 0.27
Calculated volume in A^3/atom: 12.638
Final energy in eV/atom: -7.075

Structure (CIF):
```
data_ZnFe2Tc
_chemical_formula_sum 'Zn1 Fe2 Tc1'
_cell_length_a 2.6379
_cell_length_b 2.6379
_cell_length_c 7.2652
_cell_angle_alpha 90.00
_cell_angle_beta 90.00
_cell_angle_gamma 90.00
_symmetry_space_group_name_H-M 'P 4/m m m'
_symmetry_Int_Tables_number 123
_symmetry_space_group_name_Hall '-P 4 2'
loop_
_atom_site_label
_atom_site_fract_x
_atom_site_fract_y
_atom_site_fract_z
_atom_site_occupancy
Zn1 0.0000 0.0000 0.0000 1
Fe1 0.5000 0.5000 0.2509 1
Tc1 0.0000 0.0000 0.5000 1
```



(6)
VASP calculation (PBE) on a relaxed structure of ZnFe2Tc.

Total magnetic moment in μB per atom: 1.105
Formation energy in eV/f.u.: 0.49
Calculated volume in A^3/atom: 12.880
Final energy in eV/atom: -7.018

Structure (CIF):
```
data_ZnFe2Tc
_chemical_formula_sum 'Zn2 Fe4 Tc2'
_cell_length_a 5.2371
_cell_length_b 7.5650
_cell_length_c 2.6009
_cell_angle_alpha 90.00
_cell_angle_beta 90.00
_cell_angle_gamma 90.00
_symmetry_space_group_name_H-M 'C m m m'
_symmetry_Int_Tables_number 65
_symmetry_space_group_name_Hall '-C 2 2'
loop_
_atom_site_label
_atom_site_fract_x
_atom_site_fract_y
_atom_site_fract_z
_atom_site_occupancy
Zn1 0.0000 0.0000 0.0000 1
Fe1 0.2500 0.2500 0.5000 1
Tc1 0.0000 0.5000 0.0000 1
```



(7)
VASP calculation (PBE) on a relaxed structure of ZnFe2Tc.

Total magnetic moment in μB per atom: 1.192
Formation energy in eV/f.u.: 0.81
Calculated volume in A^3/atom: 12.993
Final energy in eV/atom: -6.939

Structure (CIF):
```
data_ZnFe2Tc
_chemical_formula_sum 'Zn1 Fe2 Tc1'
_cell_length_a 4.3142
_cell_length_b 4.3142
_cell_length_c 2.7923
_cell_angle_alpha 90.00
_cell_angle_beta 90.00
_cell_angle_gamma 90.00
_symmetry_space_group_name_H-M 'P 4/m m m'
_symmetry_Int_Tables_number 123
_symmetry_space_group_name_Hall '-P 4 2'
loop_
_atom_site_label
_atom_site_fract_x
_atom_site_fract_y
_atom_site_fract_z
_atom_site_occupancy
Zn1 0.0000 0.0000 0.0000 1
Fe1 0.0000 0.5000 0.5000 1
Tc1 0.5000 0.5000 0.0000 1
```



(8)
VASP calculation (PBE) on a relaxed structure of ZnFe2Tc.

Total magnetic moment in μB per atom: 1.224
Formation energy in eV/f.u.: 0.43
Calculated volume in A^3/atom: 12.998
Final energy in eV/atom: -7.033

Structure (CIF):
```
data_ZnFe2Tc
_chemical_formula_sum 'Zn1 Fe2 Tc1'
_cell_length_a 2.5289
_cell_length_b 4.1640
_cell_length_c 5.0212
_cell_angle_alpha 90.00
_cell_angle_beta 100.49
_cell_angle_gamma 90.00
_symmetry_space_group_name_H-M 'P 1 m 1'
_symmetry_Int_Tables_number 6
_symmetry_space_group_name_Hall 'P -2y'
loop_
_atom_site_label
_atom_site_fract_x
_atom_site_fract_y
_atom_site_fract_z
_atom_site_occupancy
Zn1 0.0000 0.0000 0.0000 1
Fe1 0.5732 0.0000 0.4833 1
Fe2 0.7634 0.5000 0.2388 1
Tc1 0.2988 0.5000 0.7251 1
```



(9)
VASP calculation (PBE) on a relaxed structure of ZnFe2Tc2.

Total magnetic moment in μB per atom: 0.000
Formation energy in eV/f.u.: 0.88
Calculated volume in A^3/atom: 13.301
Final energy in eV/atom: -7.611

Structure (CIF):
```
data_ZnFe2Tc2
_chemical_formula_sum 'Zn2 Fe4 Tc4'
_cell_length_a 7.0822
_cell_length_b 7.0822
_cell_length_c 2.6519
_cell_angle_alpha 90.00
_cell_angle_beta 90.00
_cell_angle_gamma 90.00
_symmetry_space_group_name_H-M 'P 4/m b m'
_symmetry_Int_Tables_number 127
_symmetry_space_group_name_Hall '-P 4 2ab'
loop_
_atom_site_label
_atom_site_fract_x
_atom_site_fract_y
_atom_site_fract_z
_atom_site_occupancy
Zn1 0.0000 0.0000 0.0000 1
Fe1 0.1216 0.3784 0.0000 1
Tc1 0.1693 0.6693 0.5000 1
```



(10)
VASP calculation (PBE) on a relaxed structure of ZnFe3Tc.

Total magnetic moment in μB per atom: 2.037
Formation energy in eV/f.u.: 7.23
Calculated volume in A^3/atom: 16.244
Final energy in eV/atom: -5.960

Structure (CIF):
```
data_ZnFe3Tc
_chemical_formula_sum 'Zn1 Fe3 Tc1'
_cell_length_a 4.3307
_cell_length_b 4.3307
_cell_length_c 4.3307
_cell_angle_alpha 90.00
_cell_angle_beta 90.00
_cell_angle_gamma 90.00
_symmetry_space_group_name_H-M 'P m -3 m'
_symmetry_Int_Tables_number 221
_symmetry_space_group_name_Hall '-P 4 2 3'
loop_
_atom_site_label
_atom_site_fract_x
_atom_site_fract_y
_atom_site_fract_z
_atom_site_occupancy
Zn1 0.0000 0.0000 0.0000 1
Fe1 0.0000 0.0000 0.5000 1
Tc1 0.5000 0.5000 0.5000 1
```



(11)
VASP calculation (PBE) on a relaxed structure of Zn2Fe2Tc.

Total magnetic moment in μB per atom: 1.005
Formation energy in eV/f.u.: 1.36
Calculated volume in A^3/atom: 13.195
Final energy in eV/atom: -5.695

Structure (CIF):
```
data_Zn2Fe2Tc
_chemical_formula_sum 'Zn4 Fe4 Tc2'
_cell_length_a 7.0428
_cell_length_b 7.0428
_cell_length_c 2.6602
_cell_angle_alpha 90.00
_cell_angle_beta 90.00
_cell_angle_gamma 90.00
_symmetry_space_group_name_H-M 'P 4/m b m'
_symmetry_Int_Tables_number 127
_symmetry_space_group_name_Hall '-P 4 2ab'
loop_
_atom_site_label
_atom_site_fract_x
_atom_site_fract_y
_atom_site_fract_z
_atom_site_occupancy
Zn1 0.1262 0.3738 0.0000 1
Fe1 0.1732 0.6732 0.5000 1
Tc1 0.0000 0.0000 0.0000 1
```



(12)
VASP calculation (PBE) on a relaxed structure of ZnFe2Tc.

Total magnetic moment in μB per atom: 0.966
Formation energy in eV/f.u.: 0.44
Calculated volume in A^3/atom: 12.846
Final energy in eV/atom: -7.031

Structure (CIF):
```
data_ZnFe2Tc
_chemical_formula_sum 'Zn1 Fe2 Tc1'
_cell_length_a 2.6195
_cell_length_b 3.7799
_cell_length_c 5.1894
_cell_angle_alpha 90.00
_cell_angle_beta 90.00
_cell_angle_gamma 90.00
_symmetry_space_group_name_H-M 'P m m m'
_symmetry_Int_Tables_number 47
_symmetry_space_group_name_Hall '-P 2 2'
loop_
_atom_site_label
_atom_site_fract_x
_atom_site_fract_y
_atom_site_fract_z
_atom_site_occupancy
Zn1 0.0000 0.0000 0.0000 1
Fe1 0.5000 0.5000 0.2581 1
Tc1 0.0000 0.0000 0.5000 1
```



(13)
VASP calculation (PBE) on a relaxed structure of Zr2ZnFeTc.

Total magnetic moment in μB per atom: 0.557
Formation energy in eV/f.u.: 4.16
Calculated volume in A^3/atom: 23.120
Final energy in eV/atom: -6.607

Structure (CIF):
```
data_Zr2ZnFeTc
_chemical_formula_sum 'Zr2 Zn1 Fe1 Tc1'
_cell_length_a 4.9051
_cell_length_b 4.9051
_cell_length_c 4.8047
_cell_angle_alpha 90.00
_cell_angle_beta 90.00
_cell_angle_gamma 90.00
_symmetry_space_group_name_H-M 'P 4/m m m'
_symmetry_Int_Tables_number 123
_symmetry_space_group_name_Hall '-P 4 2'
loop_
_atom_site_label
_atom_site_fract_x
_atom_site_fract_y
_atom_site_fract_z
_atom_site_occupancy
Zr1 0.0000 0.5000 0.0000 1
Zn1 0.0000 0.0000 0.5000 1
Fe1 0.5000 0.5000 0.5000 1
Tc1 0.0000 0.0000 0.0000 1
```



(14)
VASP calculation (PBE) on a relaxed structure of ZrFeTc4.

Total magnetic moment in μB per atom: 0.480
Formation energy in eV/f.u.: 0.56
Calculated volume in A^3/atom: 16.294
Final energy in eV/atom: -9.652

Structure (CIF):
```
data_ZrFeTc4
_chemical_formula_sum 'Zr4 Fe4 Tc16'
_cell_length_a 7.3127
_cell_length_b 7.3127
_cell_length_c 7.3127
_cell_angle_alpha 90.00
_cell_angle_beta 90.00
_cell_angle_gamma 90.00
_symmetry_space_group_name_H-M 'F -4 3 m'
_symmetry_Int_Tables_number 216
_symmetry_space_group_name_Hall 'F -4 2 3'
loop_
_atom_site_label
_atom_site_fract_x
_atom_site_fract_y
_atom_site_fract_z
_atom_site_occupancy
Zr1 0.0000 0.0000 0.0000 1
Fe1 0.2500 0.2500 0.2500 1
Tc1 0.1244 0.1244 0.6244 1
```